Entry 1:
A crystal of Nd2Ge3Pt relaxed with PBEsol, computed with meta-GGA SCAN.

Structure (POSCAR):
```
Nd2Ge3Pt
1.0
-3.9282 1.0352 0.4744
0.4101 -0.4241 4.3215
1.8926 6.9518 0.5027
Nd Pt Ge
2 1 3
direct
0.0000 0.0000 0.4997
0.0000 0.5000 0.0018
0.5000 0.5000 0.3284
0.5000 0.0000 0.1741
0.5000 0.5000 0.6639
0.5000 0.0000 0.8320
```

Values from the calculation:
Calculated volume, Å³/cell: 128.8
E_tot, eV/cell: -220.88

Entry 2:
A crystal of HfAg3Au relaxed with PBEsol, computed with meta-GGA SCAN.

Structure (POSCAR):
```
HfAg3Au
1.0
-2.7944 3.7089 -1.9902
-3.9727 -1.5346 2.7181
1.3908 3.0683 3.7651
Ag Hf Au
3 1 1
direct
0.5000 0.0000 0.0000
0.0000 0.5000 0.0000
0.0000 0.0000 0.5000
0.0000 0.0000 0.0000
0.5000 0.5000 0.5000
```

Values from the calculation:
Calculated volume, Å³/cell: 129.0
E_tot, eV/cell: -218.65

Entry 3:
A crystal of InAgP relaxed with PBEsol, computed with meta-GGA SCAN.

Structure (POSCAR):
```
InAgP
1.0
-3.3869 0.9342 -1.7409
2.5459 -2.3704 -1.8094
-1.9595 -3.5573 1.9031
Ag P In
1 1 1
direct
0.0000 0.0000 0.0440
0.6667 0.3333 0.3167
0.3333 0.6667 0.6393
```

Values from the calculation:
Calculated volume, Å³/cell: 59.7
Energy above the most stable polymorph in this dataset, meV/atom: 0

Entry 4:
A crystal of ZrTc2Pd relaxed with PBEsol, computed with meta-GGA SCAN.

Structure (POSCAR):
```
ZrTc2Pd
1.0
-1.6300 -3.5004 2.2252
1.3664 -4.1186 -1.0152
2.6028 -2.2465 2.8354
Pd Tc Zr
1 2 1
direct
0.5000 0.5000 0.5000
0.2500 0.2500 0.2500
0.7500 0.7500 0.7500
0.0000 0.0000 0.0000
```

Values from the calculation:
Calculated volume, Å³/cell: 62.6
E_tot, eV/cell: -132.89

Entry 5:
A crystal of RbMgI2O relaxed with PBEsol, computed with meta-GGA SCAN.

Structure (POSCAR):
```
RbMgI2O
1.0
-0.6116 3.2980 -2.7038
-2.1679 -4.0281 -4.4230
-5.9138 0.7327 2.2314
Rb O Mg I
1 1 1 2
direct
0.0000 0.0000 0.0000
0.5000 0.0000 0.0000
0.5000 0.5000 0.5000
0.0000 0.5000 0.0000
0.0000 0.0000 0.5000
```

Values from the calculation:
Calculated volume, Å³/cell: 174.4
Raw formation energy, eV/atom: 0.085

Entry 6:
A crystal of LiBeAu2 relaxed with PBEsol, computed with meta-GGA SCAN.

Structure (POSCAR):
```
LiBeAu2
1.0
-2.4946 1.4626 0.3137
-0.7888 -0.4574 -4.1395
-2.0321 -3.6353 0.7889
Li Be Au
1 1 2
direct
0.5000 0.5000 0.5000
0.5000 0.0000 0.0000
0.0000 0.5000 0.0000
0.0000 0.0000 0.5000
```

Values from the calculation:
Calculated volume, Å³/cell: 52.3
E_tot, eV/cell: -146.94

Entry 7:
A crystal of Al2SiHg relaxed with PBEsol, computed with meta-GGA SCAN.

Structure (POSCAR):
```
Al2SiHg
1.0
-0.8819 -1.8025 -1.9931
-0.9525 -0.6753 2.5760
-7.9985 5.5694 -1.4976
Si Al Hg
1 2 1
direct
0.5000 0.5000 0.2241
0.0000 0.0000 0.0055
0.5000 0.5000 0.7703
0.0000 0.0000 0.5001
```

Values from the calculation:
Calculated volume, Å³/cell: 72.8
Raw formation energy, eV/atom: 0.378
Energy above the most stable polymorph in this dataset, meV/atom: 220

Entry 8:
A crystal of YCdHg relaxed with PBEsol, computed with meta-GGA SCAN.

Structure (POSCAR):
```
YCdHg
1.0
4.7948 0.0000 0.0000
2.3974 4.1525 0.0000
2.3974 1.3842 3.9150
Y Hg Cd
1 1 1
direct
0.0000 0.0000 0.0000
0.2500 0.2500 0.2500
0.5000 0.5000 0.5000
```

Values from the calculation:
Calculated volume, Å³/cell: 77.9
E_tot, eV/cell: -127.81

Entry 9:
A crystal of Mg2Ta2CrO8 relaxed with PBEsol, computed with meta-GGA SCAN.

Structure (POSCAR):
```
Mg2Ta2CrO8
1.0
-2.1870 4.5469 -1.0645
-5.3510 -2.4142 0.6797
2.8868 3.3154 8.7954
O Mg Cr Ta
16 4 2 4
direct
0.0842 0.6832 0.1136
0.4142 0.0523 0.8639
0.9513 0.0858 0.3697
0.0487 0.9142 0.6303
0.3781 0.8359 0.3818
0.5858 0.9477 0.1361
0.4513 0.2839 0.3696
0.8781 0.5458 0.3817
0.9142 0.8117 0.8640
0.1219 0.4542 0.6183
0.5842 0.4305 0.1136
0.4158 0.5695 0.8864
0.6219 0.1641 0.6182
0.9158 0.3168 0.8864
0.5487 0.7161 0.6304
0.0858 0.1883 0.1360
0.2446 0.5823 0.4537
0.7554 0.4177 0.5463
0.7446 0.8715 0.4536
0.2554 0.1285 0.5464
0.2500 0.3641 0.0000
0.7500 0.6359 0.0000
0.7487 0.2722 0.2297
0.7513 0.0425 0.7703
0.2487 0.9575 0.2297
0.2513 0.7278 0.7703
```

Values from the calculation:
Calculated volume, Å³/cell: 285.7
Raw formation energy, eV/atom: -2.887

Entry 10:
A crystal of Li2SiSb relaxed with PBEsol, computed with meta-GGA SCAN.

Structure (POSCAR):
```
Li2SiSb
1.0
2.9080 0.0000 0.0000
0.0000 4.1204 0.0000
0.0000 0.0000 5.8483
Si Sb Li
1 1 2
direct
0.5000 0.5000 0.5000
0.5000 0.5000 0.0000
0.0000 0.0000 0.2738
0.0000 0.0000 0.7262
```

Values from the calculation:
Calculated volume, Å³/cell: 70.1
Raw formation energy, eV/atom: -0.185
Energy above the most stable polymorph in this dataset, meV/atom: 0

Entry 11:
A crystal of MgAl2Os relaxed with PBEsol, computed with meta-GGA SCAN.

Structure (POSCAR):
```
MgAl2Os
1.0
-3.4943 -0.4717 1.5464
-0.8999 -2.4921 -2.7936
3.6047 -1.5539 2.8783
Al Os Mg
2 1 1
direct
0.7500 0.2500 0.5000
0.0000 0.0000 0.0000
0.2500 0.7500 0.5000
0.5000 0.5000 0.0000
```

Values from the calculation:
Calculated volume, Å³/cell: 59.8
Energy above the most stable polymorph in this dataset, meV/atom: 82

Entry 12:
A crystal of CuAs2BrO relaxed with PBEsol, computed with meta-GGA SCAN.

Structure (POSCAR):
```
CuAs2BrO
1.0
4.0022 0.0000 0.0000
0.0000 4.0022 0.0000
0.0000 0.0000 6.1423
As O Br Cu
2 1 1 1
direct
0.0000 0.5000 0.0000
0.5000 0.0000 0.0000
0.0000 0.0000 0.0000
0.0000 0.0000 0.5000
0.5000 0.5000 0.5000
```

Values from the calculation:
Calculated volume, Å³/cell: 98.4
Raw formation energy, eV/atom: 0.448
Energy above the most stable polymorph in this dataset, meV/atom: 0

Entry 13:
A crystal of Y2NiCl relaxed with PBEsol, computed with meta-GGA SCAN.

Structure (POSCAR):
```
Y2NiCl
1.0
-2.5246 -1.4408 1.3475
2.7828 -3.2051 1.7866
0.6297 2.9815 4.3677
Y Ni Cl
2 1 1
direct
0.0000 0.5000 0.5000
0.0000 0.0000 0.0000
0.5000 0.0000 0.5000
0.5000 0.5000 0.0000
```

Values from the calculation:
Calculated volume, Å³/cell: 78.6
Raw formation energy, eV/atom: -0.644
Energy above the most stable polymorph in this dataset, meV/atom: 406

Entry 14:
A crystal of Cs2MoSe4 relaxed with PBEsol, computed with meta-GGA SCAN.

Structure (POSCAR):
```
Cs2MoSe4
1.0
7.3370 0.0000 0.0000
0.0000 10.3920 0.0000
0.0000 0.0000 12.8755
Mo Se Cs
4 16 8
direct
0.2500 0.7512 0.0813
0.2500 0.2512 0.4187
0.7500 0.2488 0.9187
0.7500 0.7488 0.5813
0.2500 0.4707 0.3851
0.0041 0.3421 0.8450
0.0041 0.8421 0.6550
0.2500 0.9707 0.1149
0.7500 0.5293 0.6149
0.9959 0.1579 0.3450
0.4959 0.3421 0.8450
0.7500 0.7880 0.4047
0.7500 0.0293 0.8851
0.5041 0.1579 0.3450
0.5041 0.6579 0.1550
0.2500 0.2120 0.5953
0.9959 0.6579 0.1550
0.7500 0.2880 0.0953
0.2500 0.7120 0.9047
0.4959 0.8421 0.6550
0.7500 0.4591 0.3396
0.2500 0.3455 0.1017
0.2500 0.0409 0.8396
0.7500 0.6545 0.8983
0.2500 0.5409 0.6604
0.7500 0.9591 0.1604
0.7500 0.1545 0.6017
0.2500 0.8455 0.3983
```

Values from the calculation:
Calculated volume, Å³/cell: 981.7
Raw formation energy, eV/atom: -1.011

Entry 15:
A crystal of Hf2TcRh relaxed with PBEsol, computed with meta-GGA SCAN.

Structure (POSCAR):
```
Hf2TcRh
1.0
-3.7529 -2.3375 -1.0464
-2.1221 -2.4380 3.1931
-4.0365 1.3556 1.5848
Hf Tc Rh
2 1 1
direct
0.7500 0.7500 0.7500
0.2500 0.2500 0.2500
0.0000 0.0000 0.0000
0.5000 0.5000 0.5000
```

Values from the calculation:
Calculated volume, Å³/cell: 66.3
E_tot, eV/cell: -197.88

Entry 16:
A crystal of Mn2AlTe relaxed with PBEsol, computed with meta-GGA SCAN.

Structure (POSCAR):
```
Mn2AlTe
1.0
-1.8900 2.7373 1.5898
-2.1199 -2.6063 1.9672
2.8693 0.1048 3.2308
Te Mn Al
1 2 1
direct
0.5000 0.5000 0.0000
0.0000 0.5000 0.5000
0.0000 0.0000 0.0000
0.5000 0.0000 0.5000
```

Values from the calculation:
Calculated volume, Å³/cell: 62.0
Raw formation energy, eV/atom: 0.005
Energy above the most stable polymorph in this dataset, meV/atom: 0

Entry 17:
A crystal of MgHg3As relaxed with PBEsol, computed with meta-GGA SCAN.

Structure (POSCAR):
```
MgHg3As
1.0
5.2709 0.0000 0.0000
0.0000 5.2709 0.0000
0.0000 0.0000 5.2709
Hg Mg As
3 1 1
direct
0.0000 0.5000 0.0000
0.0000 0.0000 0.5000
0.5000 0.0000 0.0000
0.5000 0.5000 0.5000
0.0000 0.0000 0.0000
```

Values from the calculation:
Calculated volume, Å³/cell: 146.4
E_tot, eV/cell: -228.31

Entry 18:
A crystal of ScAg4Br relaxed with PBEsol, computed with meta-GGA SCAN.

Structure (POSCAR):
```
ScAg4Br
1.0
5.4756 0.0000 0.0000
2.7378 4.7420 0.0000
2.7378 1.5807 4.4708
Br Ag Sc
1 4 1
direct
0.7500 0.7500 0.7500
0.8752 0.3749 0.3749
0.3749 0.3749 0.3749
0.3749 0.3749 0.8752
0.3749 0.8752 0.3749
0.0000 0.0000 0.0000
```

Values from the calculation:
Calculated volume, Å³/cell: 116.1
Raw formation energy, eV/atom: 0.027

Entry 19:
A crystal of K2ZnCr2 relaxed with PBEsol, computed with meta-GGA SCAN.

Structure (POSCAR):
```
K2ZnCr2
1.0
3.8244 0.0000 0.0000
0.0000 3.8244 0.0000
-1.9122 -1.9122 10.6035
K Zn Cr
2 1 2
direct
0.6072 0.6072 0.2144
0.3928 0.3928 0.7856
0.0000 0.0000 0.0000
0.2500 0.7500 0.5000
0.7500 0.2500 0.5000
```

Values from the calculation:
Calculated volume, Å³/cell: 155.1
E_tot, eV/cell: -62.99

Entry 20:
A crystal of Li5Au3 relaxed with PBEsol, computed with meta-GGA SCAN.

Structure (POSCAR):
```
Li5Au3
1.0
4.1540 0.0000 0.0000
0.0000 5.3519 -0.0786
0.0000 -0.9613 5.2655
Au Li
3 5
direct
0.0000 0.5000 0.5000
0.5000 0.7570 0.2430
0.5000 0.2430 0.7570
0.5000 0.7395 0.7395
0.5000 0.2605 0.2605
0.0000 0.0000 0.0000
0.0000 0.5000 0.0000
0.0000 0.0000 0.5000
```

Values from the calculation:
Calculated volume, Å³/cell: 116.7
Energy above the most stable polymorph in this dataset, meV/atom: 0

Entry 21:
A crystal of LaHg2Sb relaxed with PBEsol, computed with meta-GGA SCAN.

Structure (POSCAR):
```
LaHg2Sb
1.0
-3.9019 1.9386 1.2743
-0.8711 -3.5353 2.7110
2.3701 2.2991 3.7597
Hg La Sb
2 1 1
direct
0.5000 0.0000 0.0000
0.0000 0.5000 0.0000
0.5000 0.5000 0.5000
0.0000 0.0000 0.5000
```

Values from the calculation:
Calculated volume, Å³/cell: 103.1
Raw formation energy, eV/atom: -0.683

Entry 22:
A crystal of TiB2Mo relaxed with PBEsol, computed with meta-GGA SCAN.

Structure (POSCAR):
```
TiB2Mo
1.0
-3.8119 0.6027 0.5403
-2.1404 -2.6436 1.9016
-1.3612 0.7937 3.5641
B Mo Ti
2 1 1
direct
0.2500 0.2500 0.2500
0.7500 0.7500 0.7500
0.5000 0.5000 0.5000
0.0000 0.0000 0.0000
```

Values from the calculation:
Calculated volume, Å³/cell: 41.8
Energy above the most stable polymorph in this dataset, meV/atom: 960

Entry 23:
A crystal of BeSnHI2 relaxed with PBEsol, computed with meta-GGA SCAN.

Structure (POSCAR):
```
BeSnHI2
1.0
3.9216 0.0000 0.0000
0.0000 5.9637 0.0000
0.0000 0.0000 5.9637
Be I H Sn
1 2 1 1
direct
0.5000 0.5000 0.5000
0.0000 0.5000 0.0000
0.0000 0.0000 0.5000
0.5000 0.0000 0.0000
0.0000 0.0000 0.0000
```

Values from the calculation:
Calculated volume, Å³/cell: 139.5
E_tot, eV/cell: -114.27

Entry 24:
A crystal of OsS2IN relaxed with PBEsol, computed with meta-GGA SCAN.

Structure (POSCAR):
```
OsS2IN
1.0
3.8057 0.0000 0.0000
0.0000 5.0445 0.0000
0.0000 0.0000 5.0445
I Os N S
1 1 1 2
direct
0.0000 0.0000 0.0000
0.5000 0.5000 0.5000
0.5000 0.0000 0.0000
0.0000 0.5000 0.0000
0.0000 0.0000 0.5000
```

Values from the calculation:
Calculated volume, Å³/cell: 96.8
Raw formation energy, eV/atom: 2.338

Entry 25:
A crystal of CoTcNi2I relaxed with PBEsol, computed with meta-GGA SCAN.

Structure (POSCAR):
```
CoTcNi2I
1.0
4.4834 0.0000 0.0000
0.0000 4.4834 0.0000
0.0000 0.0000 4.4874
Ni I Co Tc
2 1 1 1
direct
0.0000 0.5000 0.0000
0.5000 0.0000 0.0000
0.0000 0.0000 0.0000
0.0000 0.0000 0.5000
0.5000 0.5000 0.5000
```

Values from the calculation:
Calculated volume, Å³/cell: 90.2
Raw formation energy, eV/atom: 1.630

Entry 26:
A crystal of TaCuBr2 relaxed with PBEsol, computed with meta-GGA SCAN.

Structure (POSCAR):
```
TaCuBr2
1.0
3.0992 0.0000 0.0000
0.0000 4.2947 0.0000
0.0000 0.0000 5.5409
Cu Br Ta
1 2 1
direct
0.5000 0.5000 0.0000
0.5000 0.0000 0.5000
0.0000 0.0000 0.0000
0.0000 0.5000 0.5000
```

Values from the calculation:
Calculated volume, Å³/cell: 73.7
Raw formation energy, eV/atom: 0.750
Energy above the most stable polymorph in this dataset, meV/atom: 0

Entry 27:
A crystal of KTe2Cl relaxed with PBEsol, computed with meta-GGA SCAN.

Structure (POSCAR):
```
KTe2Cl
1.0
-3.6117 -2.5114 1.7185
3.0206 -3.2826 1.5509
0.4631 2.8623 5.1563
Te K Cl
2 1 1
direct
0.0000 0.0000 0.2756
0.0000 0.0000 0.7244
0.5000 0.5000 0.5000
0.5000 0.5000 0.0000
```

Values from the calculation:
Calculated volume, Å³/cell: 131.9
Raw formation energy, eV/atom: -0.546
Energy above the most stable polymorph in this dataset, meV/atom: 403

| no. | theoretical density (kg/m3) |
| --- | --- |
| 1 | 9041 |
| 2 | 9001 |
| 3 | 7053 |
| 4 | 10444 |
| 5 | 3613 |
| 6 | 13024 |
| 7 | 6446 |
| 8 | 8562 |
| 9 | 6863 |
| 10 | 3880 |
| 11 | 7454 |
| 12 | 5220 |
| 13 | 5747 |
| 14 | 4585 |
| 15 | 13968 |
| 16 | 7079 |
| 17 | 7949 |
| 18 | 7958 |
| 19 | 2651 |
| 20 | 8898 |
| 21 | 10659 |
| 22 | 6565 |
| 23 | 4554 |
| 24 | 6778 |
| 25 | 7386 |
| 26 | 9103 |
| 27 | 4150 |